1.
First-principles (PBE-GGA) data for a geometry-optimized Tb4Sm2YSc structure, as listed in the Alexandria database.

The structure belongs to space group P4/mmm (No. 123); the cell edges are 5.019, 5.019 and 9.975 Å and the angles 90.00°, 90.00° and 90.00°. Symmetry generates all atoms from Tb at (0.000, 0.500, 0.244), Sm at (0.000, 0.000, 0.000), Sm at (0.500, 0.500, 0.500), Y at (0.000, 0.000, 0.500) and Sc at (0.500, 0.500, 0.000).

As for the formation energy: 0.2 eV per formula unit.


2.
First-principles (PBE-GGA) data for a geometry-optimized TbSm3YSc structure, as listed in the Alexandria database.

The structure belongs to space group P2_1/m (No. 11); the cell edges are 7.909, 5.036 and 10.037 Å and the angles 90.00°, 108.56° and 90.00°. Symmetry generates all atoms from Tb at (0.001, 0.250, 0.372), Sm at (0.324, 0.750, 0.958), Sm at (0.328, 0.250, 0.710), Sm at (0.331, 0.750, 0.455), Y at (0.325, 0.250, 0.203) and Sc at (0.001, 0.750, 0.121).

As for the formation energy: 0.2 eV per formula unit.


3.
First-principles (PBE-GGA) data for a geometry-optimized TbSm2Y2Sc structure, as listed in the Alexandria database.

The structure belongs to space group Pmma (No. 51); the cell edges are 7.015, 5.575 and 9.631 Å and the angles 90.00°, 90.00° and 90.00°. Symmetry generates all atoms from Tb at (0.000, 0.000, 0.000), Sm at (0.250, 0.000, 0.319), Sm at (0.250, 0.500, 0.848), Y at (0.000, 0.500, 0.500), Y at (0.250, 0.000, 0.659) and Sc at (0.250, 0.500, 0.177).

As for the formation energy: 0.4 eV per formula unit.


4.
First-principles (PBE-GGA) data for a geometry-optimized Tb6SmY2Sc3 structure, as listed in the Alexandria database.

The structure belongs to space group C2/m (No. 12); the cell edges are 6.075, 10.516 and 11.502 Å and the angles 90.00°, 100.11° and 90.00°. Symmetry generates all atoms from Tb at (0.246, 0.000, 0.239), Tb at (0.247, 0.334, 0.239), Sm at (0.000, 0.000, 0.500), Y at (0.000, 0.333, 0.500), Sc at (0.000, 0.167, 0.000) and Sc at (0.000, 0.500, 0.000).

As for the formation energy: 0.5 eV per formula unit.


5.
First-principles (PBE-GGA) data for a geometry-optimized Tb2SmY6Sc structure, as listed in the Alexandria database.

The structure belongs to space group C2/c (No. 15); the cell edges are 9.258, 15.831 and 8.741 Å and the angles 90.00°, 92.24° and 90.00°. Symmetry generates all atoms from Tb at (0.234, 0.055, 0.444), Sm at (0.000, 0.468, 0.250), Y at (0.037, 0.330, 0.948), Y at (0.105, 0.130, 0.091), Y at (0.246, 0.206, 0.707) and Sc at (0.000, 0.055, 0.750).

As for the formation energy: 1.2 eV per formula unit.


6.
First-principles (PBE-GGA) data for a geometry-optimized Tb3Sm6Y2Sc structure, as listed in the Alexandria database.

The structure belongs to space group C2/m (No. 12); the cell edges are 6.200, 10.734 and 11.770 Å and the angles 90.00°, 100.07° and 90.00°. Symmetry generates all atoms from Tb at (0.000, 0.000, 0.000), Tb at (0.000, 0.333, 0.000), Sm at (0.247, 0.335, 0.747), Sm at (0.248, 0.500, 0.252), Y at (0.000, 0.167, 0.500) and Sc at (0.000, 0.500, 0.500).

As for the formation energy: 0.3 eV per formula unit.